Y2In8Fe | PBE | optimized geometry

## Properties
- VASP energy (eV/atom) = -4.18
- volume (Å³/atom) = 23.74

```
Y2In8Fe
1.0
-3.266 -2.286 2.327
1.966 -4.008 -1.177
6.910 0.422 10.112
In Y Fe
8 2 1
direct
0.500 0.000 0.120
0.000 0.500 0.120
0.000 0.500 0.880
0.500 0.000 0.880
0.500 0.500 0.692
0.500 0.500 0.308
0.500 0.000 0.500
0.000 0.500 0.500
0.000 0.000 0.307
0.000 0.000 0.693
0.000 0.000 0.000
```